YScAl2Ge | GGA-PBEsol | relaxed

a b c (Å): 5.0078 5.2881 5.2881
angles (deg): 90.00 90.00 90.00
Fractional coordinates of all 5 atoms:
Y 0.0000 0.0000 0.0000
Sc 0.5000 0.0000 0.0000
Al 0.0000 0.5000 0.0000
Al 0.0000 0.0000 0.5000
Ge 0.5000 0.5000 0.5000

Values from the calculation:
Magnetization, μB/f.u.: 0.0
Crystal system: tetragonal
E, eV/atom: -4.090
D(E_F), states/eV per atom: 1.037
DFT formation energy, eV/atom: 1.220